(1)
DFT (meta-GGA SCAN) results for a crystal of Fe2HgRh relaxed with PBEsol.

Lattice parameters (Å, degrees): 4.3057 4.3057 4.3057 60.00 60.00 60.00
With the nearest neighbours (Å) after each atom.
Atoms (fractional coordinates):
Rh: 0.2500 0.2500 0.2500  4 Hg 2.64, 4 Fe 2.64
Hg: 0.5000 0.5000 0.5000  4 Rh 2.64, 4 Fe 2.64
Fe: 0.0000 0.0000 0.0000  4 Fe 2.64, 4 Rh 2.64
Fe: 0.7500 0.7500 0.7500  4 Fe 2.64, 4 Hg 2.64

Output
* E: -2.5293 Ry per atom
* M_tot: 1.5669 μB/atom
* formation enthalpy at 0 K: 0.1357 eV per atom

***

(2)
DFT (meta-GGA SCAN) results for a crystal of Mg2Fe2Co relaxed with PBEsol.

Lattice parameters (Å, degrees): 3.2053 3.2053 7.6663 102.07 102.07 90.00
With the nearest neighbours (Å) after each atom.
Atoms (fractional coordinates):
Fe: 0.2500 0.7500 0.5000  4 Fe 2.27
Fe: 0.7500 0.2500 0.5000  4 Fe 2.27
Co: 0.0000 0.0000 0.0000  8 Mg 2.67
Mg: 0.4035 0.4035 0.8070  4 Co 2.67, 4 Fe 2.76, 1 Mg 2.83
Mg: 0.5965 0.5965 0.1930  4 Co 2.67, 4 Fe 2.76, 1 Mg 2.83

Output
* E: -0.9031 Ry per atom
* M_tot: 1.2951 μB/atom
* formation enthalpy at 0 K: 0.4146 eV per atom

***

(3)
DFT (meta-GGA SCAN) results for a crystal of IrRhSCl2 relaxed with PBEsol.

Lattice parameters (Å, degrees): 4.3385 4.8601 4.8601 90.00 90.00 90.00
With the nearest neighbours (Å) after each atom.
Atoms (fractional coordinates):
Cl: 0.0000 0.0000 0.5000  2 Ir 2.43
Cl: 0.0000 0.5000 0.0000  2 Ir 2.43
S: 0.5000 0.0000 0.0000  2 Ir 2.17
Rh: 0.5000 0.5000 0.5000  8 Cl 3.26, 4 S 3.44
Ir: 0.0000 0.0000 0.0000  2 S 2.17

Output
* E: -1.8688 Ry per atom
* M_tot: 0.3968 μB/atom

***

(4)
DFT (meta-GGA SCAN) results for a crystal of LiMgCu4 relaxed with PBEsol.

Lattice parameters (Å, degrees): 4.8520 4.8520 4.8520 60.00 60.00 60.00
With the nearest neighbours (Å) after each atom.
Atoms (fractional coordinates):
Cu: 0.3751 0.3751 0.3751  6 Cu 2.42-2.43
Cu: 0.3751 0.8747 0.3751  6 Cu 2.42-2.43
Cu: 0.8747 0.3751 0.3751  6 Cu 2.42-2.43
Cu: 0.3751 0.3751 0.8747  6 Cu 2.42-2.43
Li: 0.7500 0.7500 0.7500  12 Cu 2.84, 4 Mg 2.97
Mg: 0.0000 0.0000 0.0000  12 Cu 2.84, 4 Li 2.97

Output
* E: -0.8441 Ry per atom
* M_tot: 0.0000 μB/atom
* formation enthalpy at 0 K: -0.1249 eV per atom

***

(5)
DFT (meta-GGA SCAN) results for a crystal of Cr2P3O13 relaxed with PBEsol.

Lattice parameters (Å, degrees): 6.1142 6.8346 21.4669 90.00 90.00 101.00
With the nearest neighbours (Å) after each atom.
Atoms (fractional coordinates):
O: 0.0981 0.0365 0.7864  1 P 1.53
O: 0.2307 0.7457 0.0209  1 P 1.56
O: 0.5760 0.7062 0.4418  1 P 1.53
O: 0.2090 0.7586 0.8502  1 P 1.55
O: 0.8806 0.1707 0.8738  1 P 1.50
O: 0.7693 0.2543 0.9791  1 P 1.56
O: 0.1115 0.4739 0.9311  1 P 1.50
O: 0.1957 0.4818 0.4363  1 Cr 1.56
O: 0.5134 0.7229 0.9344  1 P 1.52
O: 0.4019 0.4635 0.2864  1 P 1.53
O: 0.2910 0.7414 0.3502  1 P 1.55
O: 0.7217 0.4761 0.8900  2 P 1.59-1.62
O: 0.7577 0.7070 0.3342  1 P 1.53
O: 0.8208 0.2998 0.7627  1 P 1.55
O: 0.2783 0.5239 0.1100  2 P 1.59-1.62
O: 0.6115 0.9739 0.5689  1 P 1.50
O: 0.1194 0.8293 0.1262  1 P 1.50
O: 0.5981 0.5365 0.7136  1 P 1.53
O: 0.6194 0.3293 0.3738  1 P 1.50
O: 0.7783 0.0239 0.3900  2 P 1.59-1.62
O: 0.2693 0.7543 0.5209  1 P 1.56
O: 0.2626 0.0565 0.2743  1 Cr 1.56
O: 0.0040 0.4418 0.3126  1 P 1.54
O: 0.4960 0.0582 0.8126  1 P 1.54
O: 0.3806 0.6707 0.6262  1 P 1.50
O: 0.2577 0.2070 0.1658  1 P 1.53
O: 0.0134 0.2229 0.5656  1 P 1.52
O: 0.6792 0.2002 0.2627  1 P 1.55
O: 0.8043 0.5182 0.5637  1 Cr 1.56
O: 0.3208 0.7998 0.7373  1 P 1.55
O: 0.7626 0.5565 0.2257  1 Cr 1.56
O: 0.9019 0.9635 0.2136  1 P 1.53
O: 0.9960 0.5582 0.6874  1 P 1.54
O: 0.5040 0.9418 0.1874  1 P 1.54
O: 0.4240 0.2938 0.5582  1 P 1.53
O: 0.7423 0.7930 0.8342  1 P 1.53
O: 0.7090 0.2586 0.6498  1 P 1.55
O: 0.2374 0.4435 0.7743  1 Cr 1.56
O: 0.3043 0.0182 0.9363  1 Cr 1.56
O: 0.1792 0.7002 0.2373  1 P 1.55
O: 0.9240 0.7938 0.9418  1 P 1.53
O: 0.2217 0.9761 0.6100  2 P 1.59-1.62
O: 0.0760 0.2062 0.0582  1 P 1.53
O: 0.6957 0.9818 0.0637  1 Cr 1.56
O: 0.3885 0.0261 0.4311  1 P 1.50
O: 0.2423 0.2930 0.6658  1 P 1.53
O: 0.4866 0.2771 0.0656  1 P 1.52
O: 0.9866 0.7771 0.4344  1 P 1.52
O: 0.8885 0.5261 0.0689  1 P 1.50
O: 0.7374 0.9435 0.7257  1 Cr 1.56
O: 0.7307 0.2457 0.4791  1 P 1.56
O: 0.7910 0.2414 0.1498  1 P 1.55
P: 0.7773 0.4123 0.7027  4 O 1.53-1.55
P: 0.7737 0.7933 0.4001  4 O 1.52-1.59
P: 0.2263 0.2067 0.5999  4 O 1.52-1.59
P: 0.7263 0.7067 0.9001  4 O 1.52-1.59
P: 0.8898 0.3417 0.9185  4 O 1.50-1.62
P: 0.1102 0.6583 0.0815  4 O 1.50-1.62
P: 0.7227 0.0877 0.2027  4 O 1.53-1.55
P: 0.2227 0.5877 0.2973  4 O 1.53-1.55
P: 0.2737 0.2933 0.0999  4 O 1.52-1.59
P: 0.2773 0.9123 0.7973  4 O 1.53-1.55
P: 0.6102 0.1583 0.4185  4 O 1.50-1.62
P: 0.3898 0.8417 0.5815  4 O 1.50-1.62
Cr: 0.2893 0.5398 0.7089  1 O 1.56
Cr: 0.7307 0.2871 0.5621  1 O 1.56
Cr: 0.7107 0.4602 0.2911  1 O 1.56
Cr: 0.7693 0.2129 0.0621  1 O 1.56
Cr: 0.7893 0.0398 0.7911  1 O 1.56
Cr: 0.2307 0.7871 0.9379  1 O 1.56
Cr: 0.2107 0.9602 0.2089  1 O 1.56
Cr: 0.2693 0.7129 0.4379  1 O 1.56

Output
* E: -0.7605 Ry per atom
* M_tot: 0.0545 μB/atom

***

(6)
DFT (meta-GGA SCAN) results for a crystal of Ca2SiSe relaxed with PBEsol.

Lattice parameters (Å, degrees): 3.5219 5.1159 5.1395 90.00 90.00 90.00
With the nearest neighbours (Å) after each atom.
Atoms (fractional coordinates):
Se: 0.6251 0.0000 0.0000  8 Ca 3.11-3.12
Ca: 0.1250 0.0000 0.5000  4 Si 3.11, 4 Se 3.12
Ca: 0.1250 0.5000 0.0000  4 Se 3.11, 4 Si 3.12
Si: 0.6250 0.5000 0.5000  8 Ca 3.11-3.12

Output
* E: -0.9719 Ry per atom
* M_tot: 0.0000 μB/atom